PBE Li3Ga2Hg4, optimized geometry; energy of formation from the pure elements = -22.6 kJ per mole of atoms; SG = No. 12; D(E_F) = 1.65 states/eV/f.u.; crystal system = monoclinic; E = -15.11 eV/f.u.
1.0
4.7129 0.0000 0.0000
-2.3565 5.1416 -0.9029
0.0000 -3.5660 8.1220
Li Ga Hg
3 2 4
Direct
0.6634 0.3269 0.6694
0.0000 0.0000 0.0000
0.3366 0.6731 0.3306
0.6105 0.2210 0.2811
0.3895 0.7790 0.7189
0.7076 0.4152 0.0570
0.2924 0.5848 0.9430
0.9371 0.8742 0.6102
0.0629 0.1258 0.3898